The following is a GGA-PBE calculation of a relaxed structure of YTm2Co9, from Alexandria.

Output
DFT total energy: -6.821 eV per atom
formation enthalpy at 0 K: -208 meV per atom

Cell lengths 4.9670, 4.9670, 24.1566 Å; angles 90.00, 90.00, 120.00 degrees
Space group R-3m (No. 166, hexagonal axes)
Unique sites:
Y: 0.0000 0.0000 0.0000 (multiplicity 3)
Tm: 0.0000 0.0000 0.1401 (multiplicity 6)
Co: 0.0000 0.0000 0.3351 (multiplicity 6)
Co: 0.0000 0.0000 0.5000 (multiplicity 3)
Co: 0.0042 0.5021 0.9179 (multiplicity 18)

=====

The following is a GGA-PBE calculation of a relaxed structure of YTm3Co2, from Alexandria.

Output
DFT total energy: -5.863 eV per atom
formation enthalpy at 0 K: -181 meV per atom

Cell lengths 16.143, 3.731, 11.409 Å; angles 90.00, 123.58, 90.00 degrees
Space group C2/m (No. 12)
Unique sites:
Y: 0.157 0.000 0.243 (multiplicity 4)
Tm: 0.084 0.500 0.442 (multiplicity 4)
Tm: 0.085 0.500 0.937 (multiplicity 4)
Tm: 0.159 0.000 0.746 (multiplicity 4)
Co: 0.232 0.000 0.047 (multiplicity 4)
Co: 0.232 0.000 0.547 (multiplicity 4)

=====

The following is a GGA-PBE calculation of a relaxed structure of Y2TmCo, from Alexandria.

Output
DFT total energy: -6.150 eV per atom
formation enthalpy at 0 K: -24 meV per atom

Cell lengths 3.426, 3.426, 8.696 Å; angles 90.00, 90.00, 90.00 degrees
Space group P4/mmm (No. 123)
Unique sites:
Y: 0.000 0.000 0.188 (multiplicity 2)
Tm: 0.500 0.500 0.500 (multiplicity 1)
Co: 0.500 0.500 0.000 (multiplicity 1)

=====

The following is a GGA-PBE calculation of a relaxed structure of YTmCo2, from Alexandria.

Output
DFT total energy: -6.452 eV per atom
formation enthalpy at 0 K: -166 meV per atom

Cell lengths 4.691, 4.691, 3.332 Å; angles 90.00, 90.00, 90.00 degrees
Space group P4/mmm (No. 123)
Unique sites:
Y: 0.000 0.000 0.000 (multiplicity 1)
Tm: 0.500 0.500 0.000 (multiplicity 1)
Co: 0.000 0.500 0.500 (multiplicity 2)

=====

The following is a GGA-PBE calculation of a relaxed structure of Y2TmCo2, from Alexandria.

Output
DFT total energy: -6.496 eV per atom
formation enthalpy at 0 K: -173 meV per atom

Cell lengths 3.949, 5.970, 9.212 Å; angles 90.00, 90.00, 90.00 degrees
Space group Immm (No. 71)
Unique sites:
Y: 0.000 0.000 0.196 (multiplicity 4)
Tm: 0.000 0.500 0.000 (multiplicity 2)
Co: 0.000 0.308 0.500 (multiplicity 4)

=====

The following is a GGA-PBE calculation of a relaxed structure of YTm3Co4, from Alexandria.

Output
DFT total energy: -6.232 eV per atom
formation enthalpy at 0 K: -194 meV per atom

Cell lengths 4.665, 4.665, 6.632 Å; angles 90.00, 90.00, 90.00 degrees
Space group P4/mmm (No. 123)
Unique sites:
Y: 0.000 0.000 0.000 (multiplicity 1)
Tm: 0.000 0.000 0.500 (multiplicity 1)
Tm: 0.500 0.500 0.000 (multiplicity 1)
Tm: 0.500 0.500 0.500 (multiplicity 1)
Co: 0.000 0.500 0.254 (multiplicity 4)

=====

The following is a GGA-PBE calculation of a relaxed structure of YTmCo10, from Alexandria.

Output
DFT total energy: -6.950 eV per atom
formation enthalpy at 0 K: -117 meV per atom

Cell lengths 3.946, 4.903, 8.504 Å; angles 90.00, 90.00, 90.00 degrees
Space group Pmmm (No. 47)
Unique sites:
Y: 0.000 0.000 0.000 (multiplicity 1)
Tm: 0.000 0.500 0.500 (multiplicity 1)
Co: 0.000 0.000 0.337 (multiplicity 2)
Co: 0.000 0.500 0.172 (multiplicity 2)
Co: 0.500 0.000 0.500 (multiplicity 1)
Co: 0.500 0.251 0.251 (multiplicity 4)
Co: 0.500 0.500 0.000 (multiplicity 1)

=====

The following is a GGA-PBE calculation of a relaxed structure of YTm3Co2, from Alexandria.

Output
DFT total energy: -5.768 eV per atom
formation enthalpy at 0 K: -86 meV per atom

Cell lengths 6.479, 13.074, 6.838 Å; angles 90.00, 90.00, 90.00 degrees
Space group Ibam (No. 72)
Unique sites:
Y: 0.000 0.000 0.000 (multiplicity 4)
Tm: 0.000 0.236 0.250 (multiplicity 8)
Tm: 0.000 0.500 0.250 (multiplicity 4)
Co: 0.218 0.363 0.000 (multiplicity 8)

=====

The following is a GGA-PBE calculation of a relaxed structure of YTm3Co, from Alexandria.

Output
DFT total energy: -5.438 eV per atom
formation enthalpy at 0 K: -41 meV per atom

Cell lengths 5.206, 5.206, 5.206 Å; angles 90.00, 90.00, 90.00 degrees
Space group Pm-3m (No. 221)
Unique sites:
Y: 0.000 0.000 0.000 (multiplicity 1)
Tm: 0.000 0.500 0.500 (multiplicity 3)
Co: 0.500 0.500 0.500 (multiplicity 1)

=====

The following is a GGA-PBE calculation of a relaxed structure of Y2TmCo2, from Alexandria.

Output
DFT total energy: -6.511 eV per atom
formation enthalpy at 0 K: -189 meV per atom

Cell lengths 10.545, 5.817, 7.349 Å; angles 90.00, 102.21, 90.00 degrees
Space group C2/c (No. 15)
Unique sites:
Y: 0.156 0.118 0.150 (multiplicity 8)
Tm: 0.000 0.407 0.750 (multiplicity 4)
Co: 0.162 0.354 0.510 (multiplicity 8)

=====

The following is a GGA-PBE calculation of a relaxed structure of Y2TmCo, from Alexandria.

Output
DFT total energy: -6.288 eV per atom
formation enthalpy at 0 K: -162 meV per atom

Cell lengths 6.944, 9.402, 6.239 Å; angles 90.00, 90.00, 90.00 degrees
Space group Pnma (No. 62)
Unique sites:
Y: 0.176 0.068 0.178 (multiplicity 8)
Tm: 0.045 0.250 0.644 (multiplicity 4)
Co: 0.113 0.750 0.963 (multiplicity 4)

=====

The following is a GGA-PBE calculation of a relaxed structure of Y2Tm3Co2, from Alexandria.

Output
DFT total energy: -5.979 eV per atom
formation enthalpy at 0 K: -186 meV per atom

Cell lengths 11.866, 3.647, 8.774 Å; angles 90.00, 116.67, 90.00 degrees
Space group C2/m (No. 12)
Unique sites:
Y: 0.169 0.000 0.302 (multiplicity 4)
Tm: 0.000 0.500 0.500 (multiplicity 2)
Tm: 0.119 0.500 0.929 (multiplicity 4)
Co: 0.175 0.000 0.740 (multiplicity 4)

=====

The following is a GGA-PBE calculation of a relaxed structure of YTm3Co, from Alexandria.

Output
DFT total energy: -5.503 eV per atom
formation enthalpy at 0 K: -106 meV per atom

Cell lengths 12.984, 3.672, 11.049 Å; angles 90.00, 90.49, 90.00 degrees
Space group C2/m (No. 12)
Unique sites:
Y: 0.172 0.000 0.094 (multiplicity 4)
Tm: 0.060 0.500 0.851 (multiplicity 4)
Tm: 0.061 0.000 0.371 (multiplicity 4)
Tm: 0.213 0.000 0.638 (multiplicity 4)
Co: 0.083 0.500 0.556 (multiplicity 4)

=====

The following is a GGA-PBE calculation of a relaxed structure of YTmZnCo, from Alexandria.

Output
DFT total energy: -5.074 eV per atom
formation enthalpy at 0 K: -246 meV per atom

Cell lengths 6.850, 6.850, 6.850 Å; angles 90.00, 90.00, 90.00 degrees
Space group F-43m (No. 216)
Unique sites:
Y: 0.000 0.000 0.000 (multiplicity 4)
Tm: 0.000 0.000 0.500 (multiplicity 4)
Zn: 0.250 0.250 0.750 (multiplicity 4)
Co: 0.250 0.250 0.250 (multiplicity 4)

=====

The following is a GGA-PBE calculation of a relaxed structure of Tm6Zn5Co, from Alexandria.

Output
DFT total energy: -3.702 eV per atom
formation enthalpy at 0 K: -343 meV per atom

Cell lengths 4.912, 6.976, 7.747 Å; angles 90.00, 108.37, 90.00 degrees
Space group P2/m (No. 10)
Unique sites:
Tm: 0.000 0.238 0.000 (multiplicity 2)
Tm: 0.340 0.243 0.680 (multiplicity 4)
Zn: 0.169 0.500 0.338 (multiplicity 2)
Zn: 0.173 0.000 0.347 (multiplicity 2)
Zn: 0.500 0.500 0.000 (multiplicity 1)
Co: 0.500 0.000 0.000 (multiplicity 1)

=====

The following is a GGA-PBE calculation of a relaxed structure of Tm12ZnCo5, from Alexandria.

Output
DFT total energy: -5.259 eV per atom
formation enthalpy at 0 K: -233 meV per atom

Cell lengths 9.144, 9.175, 9.682 Å; angles 90.00, 90.00, 90.00 degrees
Space group Immm (No. 71)
Unique sites:
Tm: 0.000 0.188 0.229 (multiplicity 8)
Tm: 0.189 0.500 0.176 (multiplicity 8)
Tm: 0.222 0.320 0.500 (multiplicity 8)
Zn: 0.000 0.000 0.500 (multiplicity 2)
Co: 0.000 0.000 0.000 (multiplicity 2)
Co: 0.000 0.345 0.000 (multiplicity 4)
Co: 0.000 0.500 0.385 (multiplicity 4)

=====

The following is a GGA-PBE calculation of a relaxed structure of Tm12ZnCo6, from Alexandria.

Output
DFT total energy: -5.371 eV per atom
formation enthalpy at 0 K: -236 meV per atom

Cell lengths 9.462, 9.462, 9.462 Å; angles 90.00, 90.00, 90.00 degrees
Space group Im-3 (No. 204)
Unique sites:
Tm: 0.000 0.300 0.193 (multiplicity 24)
Zn: 0.000 0.000 0.000 (multiplicity 2)
Co: 0.000 0.115 0.500 (multiplicity 12)

=====

The following is a GGA-PBE calculation of a relaxed structure of Tm12Zn6Co, from Alexandria.

Output
DFT total energy: -3.718 eV per atom
formation enthalpy at 0 K: -117 meV per atom

Cell lengths 11.4375, 11.4375, 12.7336 Å; angles 90.00, 90.00, 120.00 degrees
Space group R-3 (No. 148, hexagonal axes)
Unique sites:
Tm: 0.0313 0.8420 0.3767 (multiplicity 18)
Tm: 0.0367 0.1915 0.8910 (multiplicity 18)
Zn: 0.0039 0.3975 0.7567 (multiplicity 18)
Co: 0.0000 0.0000 0.5000 (multiplicity 3)

=====

The following is a GGA-PBE calculation of a relaxed structure of TmZn2Co, from Alexandria.

Output
DFT total energy: -3.668 eV per atom
formation enthalpy at 0 K: -136 meV per atom

Cell lengths 4.1022, 4.1022, 14.3953 Å; angles 90.00, 90.00, 120.00 degrees
Space group R-3m (No. 166, hexagonal axes)
Unique sites:
Tm: 0.0000 0.0000 0.0000 (multiplicity 3)
Zn: 0.0000 0.0000 0.2098 (multiplicity 6)
Co: 0.0000 0.0000 0.5000 (multiplicity 3)

=====

The following is a GGA-PBE calculation of a relaxed structure of TmZn2Co4, from Alexandria.

Output
DFT total energy: -5.160 eV per atom
formation enthalpy at 0 K: -97 meV per atom

Cell lengths 7.895, 6.279, 4.911 Å; angles 90.00, 127.12, 90.00 degrees
Space group C2/m (No. 12)
Unique sites:
Tm: 0.000 0.000 0.000 (multiplicity 2)
Zn: 0.010 0.500 0.760 (multiplicity 4)
Co: 0.184 0.184 0.672 (multiplicity 8)